(1)
Computed, not measured: an optimized crystal structure of Cu5Si2S7 at the PBEsol level of DFT.

## Properties
- E: -5.03 eV per atom

a b c (Å): 8.652 8.652 9.447
angles (deg): 91.95 91.95 42.33
Atoms (fractional coordinates):
Cu: 0.110 0.459 0.436
Cu: 0.147 0.853 0.500
Cu: 0.257 0.602 0.148
Cu: 0.395 0.742 0.853
Cu: 0.459 0.110 0.936
Cu: 0.550 0.880 0.572
Cu: 0.602 0.257 0.648
Cu: 0.742 0.395 0.353
Cu: 0.853 0.147 0.000
Cu: 0.880 0.550 0.072
Si: 0.020 0.692 0.775
Si: 0.310 0.969 0.208
Si: 0.692 0.020 0.275
Si: 0.969 0.310 0.708
S: 0.080 0.415 0.865
S: 0.132 0.774 0.935
S: 0.225 0.559 0.591
S: 0.260 0.954 0.658
S: 0.366 0.710 0.303
S: 0.415 0.080 0.365
S: 0.503 0.840 0.019
S: 0.559 0.225 0.091
S: 0.660 0.979 0.734
S: 0.710 0.366 0.803
S: 0.774 0.132 0.435
S: 0.840 0.503 0.519
S: 0.954 0.260 0.158
S: 0.979 0.660 0.234

=====

(2)
Computed, not measured: an optimized crystal structure of Cu3SiS at the PBEsol level of DFT.

## Properties
- E: -4.06 eV per atom

a b c (Å): 4.298 4.298 4.298
angles (deg): 90.00 90.00 90.00
Atoms (fractional coordinates):
Cu: 0.000 0.000 0.500
Cu: 0.000 0.500 0.000
Cu: 0.500 0.000 0.000
Si: 0.500 0.500 0.500
S: 0.000 0.000 0.000

=====

Repeat the second record exactly.
Computed, not measured: an optimized crystal structure of Cu3SiS at the PBEsol level of DFT.

## Properties
- E: -4.06 eV per atom

a b c (Å): 4.298 4.298 4.298
angles (deg): 90.00 90.00 90.00
Atoms (fractional coordinates):
Cu: 0.000 0.000 0.500
Cu: 0.000 0.500 0.000
Cu: 0.500 0.000 0.000
Si: 0.500 0.500 0.500
S: 0.000 0.000 0.000

=====

E of number 1 (Cu5Si2S7)?
-5.03 eV per atom